Entry 1:
Computed, not measured: an optimized crystal structure of CuAg2Te3 at the PBE-GGA level of DFT.

**DOS(E_F)**: 13.90 states/eV/cell
**Uncorrected formation energy**: 0.0227 eV per atom

Lattice parameters (Å, degrees): 13.000 5.745 8.004 90.00 107.77 90.00
Space group C2/c (No. 15)
Unique sites:
Cu 0.000 0.001 0.250
Ag 0.171 0.498 0.085
Te 0.000 0.499 0.750
Te 0.151 0.002 0.576

=====

Entry 2:
Computed, not measured: an optimized crystal structure of Rb2Zn2O at the PBE-GGA level of DFT.

**DOS(E_F)**: 0.00 states/eV/cell
**Uncorrected formation energy**: -0.3138 eV per atom

Lattice parameters (Å, degrees): 6.884 6.884 10.936 90.00 90.00 90.00
Space group I4/mmm (No. 139)
Unique sites:
Rb 0.000 0.500 0.250
Zn 0.000 0.000 0.171
O 0.000 0.000 0.000

=====

Entry 3:
Computed, not measured: an optimized crystal structure of FeSiRh2 at the PBE-GGA level of DFT.

**DOS(E_F)**: 3.25 states/eV/cell
**Uncorrected formation energy**: -0.3037 eV per atom

Lattice parameters (Å, degrees): 2.782 3.749 5.155 90.00 90.00 90.00
Space group Pmm2 (No. 25)
Unique sites:
Fe 0.000 0.000 0.000
Si 0.500 0.500 0.710
Rh 0.000 0.000 0.522
Rh 0.500 0.500 0.190

=====

> What is the DOS(E_F) in the second record?

0.00 states/eV/cell

=====

> What is the formula in the third record?

FeSiRh2

=====

> Which formula does entry 1 have?

CuAg2Te3

=====

> The highest uncorrected formation energy belongs to which entry?

CuAg2Te3